1.
## ZnFe2H2 (GGA-PBE)

Data for ZnFe2H2 after structural relaxation.

```
data_ZnFe2H2
_space_group_name_H-M_alt 'P 4/m b m'
_space_group_IT_number 127
_space_group_name_Hall '-P 4 2ab'
_cell_length_a 5.719
_cell_length_b 5.719
_cell_length_c 2.563
_cell_angle_alpha 90.00
_cell_angle_beta 90.00
_cell_angle_gamma 90.00
loop_
_atom_site_label
_atom_site_fract_x
_atom_site_fract_y
_atom_site_fract_z
_atom_site_occupancy
Zn1 0.000 0.000 0.000 1
Fe1 0.139 0.361 0.500 1
H1 0.114 0.614 0.000 1
```



2.
# TlAgTe2 GGA-PBE relaxed
# Energy relative to the elements, uncorrected in eV per atom: -0.060
data_TlAgTe2
_space_group_name_H-M_alt 'C 1 2/c 1'
_space_group_IT_number 15
_cell_length_a 10.969
_cell_length_b 9.825
_cell_length_c 18.535
_cell_angle_alpha 90.00
_cell_angle_beta 90.36
_cell_angle_gamma 90.00
loop_
_space_group_symop_operation_xyz
'x,y,z'
'-x,-y,-z'
'-x,y,-z+1/2'
'x,-y,z+1/2'
'x+1/2,y+1/2,z'
'-x+1/2,-y+1/2,-z'
'-x+1/2,y+1/2,-z+1/2'
'x+1/2,-y+1/2,z+1/2'
loop_
_atom_site_label
_atom_site_fract_x
_atom_site_fract_y
_atom_site_fract_z
_atom_site_occupancy
Tl1 0.151 0.187 0.101 1
Tl2 0.196 0.299 0.399 1
Ag1 0.083 0.397 0.925 1
Ag2 0.250 0.051 0.789 1
Te1 0.000 0.035 0.250 1
Te2 0.000 0.320 0.250 1
Te3 0.028 0.135 0.525 1
Te4 0.122 0.324 0.779 1
Te5 0.158 0.489 0.560 1



3.
# ErZrIrOs GGA-PBE relaxed
# DFT formation energy in meV/atom: -641
data_ErZrIrOs
_space_group_name_H-M_alt 'P 4 m m'
_space_group_IT_number 99
_cell_length_a 3.359
_cell_length_b 3.359
_cell_length_c 6.624
_cell_angle_alpha 90.00
_cell_angle_beta 90.00
_cell_angle_gamma 90.00
loop_
_space_group_symop_operation_xyz
'x,y,z'
'-y,x,z'
'-x,-y,z'
'y,-x,z'
'-x,y,z'
'y,x,z'
'x,-y,z'
'-y,-x,z'
loop_
_atom_site_label
_atom_site_fract_x
_atom_site_fract_y
_atom_site_fract_z
_atom_site_occupancy
Er1 0.000 0.000 0.000 1
Zr1 0.000 0.000 0.501 1
Ir1 0.500 0.500 0.263 1
Os1 0.500 0.500 0.733 1



4.
# LiYThCd GGA-PBE relaxed
# DFT formation energy in meV/atom: 7
data_LiYThCd
_space_group_name_H-M_alt 'F -4 3 m'
_space_group_IT_number 216
_space_group_name_Hall 'F -4 2 3'
_cell_length_a 7.532
_cell_length_b 7.532
_cell_length_c 7.532
_cell_angle_alpha 90.00
_cell_angle_beta 90.00
_cell_angle_gamma 90.00
loop_
_atom_site_label
_atom_site_fract_x
_atom_site_fract_y
_atom_site_fract_z
_atom_site_occupancy
Li1 0.000 0.000 0.000 1
Y1 0.250 0.250 0.250 1
Th1 0.250 0.250 0.750 1
Cd1 0.000 0.000 0.500 1



no.,total magnetic moment (μB per cell),energy (eV per atom)
1,7.08,-4.6477
2,0.00,-2.9356
3,0.00,-8.9418
4,0.06,-4.1715